Record 1
The following is a PBE calculation of a relaxed structure of Cs2LiNbS4, from Alexandria.

The structure in POSCAR format:
```
Cs2LiNbS4
1.0
0.0000 7.1818 12.5977
2.9787 0.0000 12.5977
2.9787 7.1818 0.0000
Cs Li Nb S
4 2 2 8
Direct
0.0508 0.0508 0.6992
0.3008 0.3008 0.9492
0.6992 0.6992 0.0508
0.9492 0.9492 0.3008
0.1250 0.1250 0.1250
0.8750 0.8750 0.8750
0.3750 0.3750 0.3750
0.6250 0.6250 0.6250
0.0014 0.6474 0.5640
0.2872 0.5640 0.6474
0.3526 0.9986 0.7128
0.4360 0.7128 0.9986
0.5640 0.2872 0.0014
0.6474 0.0014 0.2872
0.7128 0.4360 0.3526
0.9986 0.3526 0.4360
```

Properties
* ΔE to the lowest computed polymorph: 0.0052 eV/atom
* E_form (uncorrected): -1.26 eV/atom
* calculated total energy: -5.0321 eV per atom



Record 2
The following is a PBE calculation of a relaxed structure of CsLiScNb2, from Alexandria.

The structure in POSCAR format:
```
CsLiScNb2
1.0
5.0103 0.0000 0.0000
0.0000 5.0103 0.0000
0.0000 0.0000 6.4125
Cs Li Sc Nb
1 1 1 2
Direct
0.0000 0.0000 0.0000
0.5000 0.5000 0.0000
0.0000 0.0000 0.5000
0.0000 0.5000 0.5000
0.5000 0.0000 0.5000
```

Properties
* calculated total energy: -4.2055 eV per atom
* energy of formation: 8.21 eV/f.u.



Record 3
The following is a PBE calculation of a relaxed structure of Cs2LiNbTe4, from Alexandria.

The structure in POSCAR format:
```
Cs2LiNbTe4
1.0
0.0000 7.6916 13.7916
3.2932 0.0000 13.7916
3.2932 7.6916 0.0000
Cs Li Nb Te
4 2 2 8
Direct
0.0549 0.0549 0.6951
0.3049 0.3049 0.9451
0.6951 0.6951 0.0549
0.9451 0.9451 0.3049
0.1250 0.1250 0.1250
0.8750 0.8750 0.8750
0.3750 0.3750 0.3750
0.6250 0.6250 0.6250
0.0108 0.3489 0.4366
0.2964 0.5634 0.6511
0.3489 0.0108 0.7036
0.4366 0.7036 0.0108
0.5634 0.2964 0.9892
0.6511 0.9892 0.2964
0.7036 0.4366 0.3489
0.9892 0.6511 0.5634
```

Properties
* E_form (uncorrected): -0.83 eV/atom
* calculated total energy: -4.1091 eV per atom